Entry 1:
{"formula": "AcBPtRh2", "functional": "PBE-GGA", "state": "optimized geometry", "space_group": "No. 123", "formation_energy_mev_per_atom": -686, "cell": [[4.4086, 0.0000, 0.0000], [0.0000, 4.4086, 0.0000], [0.0000, 0.0000, 4.3389]], "species": ["Ac", "B", "Pt", "Rh", "Rh"], "fractional_positions": [[0.0000, 0.0000, 0.0000], [0.5000, 0.5000, 0.5000], [0.5000, 0.5000, 0.0000], [0.0000, 0.5000, 0.5000], [0.5000, 0.0000, 0.5000]]}

---

Entry 2:
{"formula": "BeSiMoRh", "functional": "PBE-GGA", "state": "optimized geometry", "formation_energy_uncorrected_mev_per_atom": -299, "space_group": "No. 216", "cell": [[0.0000, 2.9276, 2.9276], [2.9276, 0.0000, 2.9276], [2.9276, 2.9276, 0.0000]], "species": ["Be", "Si", "Mo", "Rh"], "fractional_positions": [[0.0000, 0.0000, 0.0000], [0.5000, 0.5000, 0.5000], [0.2500, 0.2500, 0.2500], [0.7500, 0.7500, 0.7500]]}

---

Entry 3:
{"formula": "LaSnHgSb", "functional": "PBE-GGA", "state": "optimized geometry", "formation_energy_uncorrected_mev_per_atom": -590, "space_group": "No. 47", "e_above_lowest_polymorph_mev_per_atom": 0, "cell": [[4.6722, 0.0000, 0.0000], [0.0000, 4.6862, 0.0000], [0.0000, 0.0000, 5.0306]], "species": ["La", "Sn", "Hg", "Sb"], "fractional_positions": [[0.0000, 0.0000, 0.0000], [0.5000, 0.0000, 0.5000], [0.0000, 0.5000, 0.5000], [0.5000, 0.5000, 0.0000]]}

---

Entry 4:
{"formula": "CrWCl2", "functional": "PBE-GGA", "state": "optimized geometry", "formation_energy_uncorrected_mev_per_atom": 542, "space_group": "No. 10", "e_above_lowest_polymorph_mev_per_atom": 704, "cell": [[2.9746, 0.0000, 0.0000], [0.0000, 4.1804, 0.0000], [-0.9115, 0.0000, 5.5217]], "species": ["Cr", "W", "Cl", "Cl"], "fractional_positions": [[0.0000, 0.0000, 0.0000], [0.5000, 0.0000, 0.5000], [0.3640, 0.5000, 0.2528], [0.6360, 0.5000, 0.7472]]}

---

Entry 5:
{"formula": "Sr4AgTe", "functional": "PBE-GGA", "state": "optimized geometry", "formation_energy_uncorrected_mev_per_atom": 169, "space_group": "No. 216", "cell": [[0.0000, 5.0659, 5.0659], [5.0659, 0.0000, 5.0659], [5.0659, 5.0659, 0.0000]], "species": ["Sr", "Sr", "Sr", "Sr", "Ag", "Te"], "fractional_positions": [[0.1246, 0.1246, 0.1246], [0.1246, 0.1246, 0.6263], [0.1246, 0.6263, 0.1246], [0.6263, 0.1246, 0.1246], [0.5000, 0.5000, 0.5000], [0.7500, 0.7500, 0.7500]]}

---

Entry 6:
{"formula": "La8Sm6Dy", "functional": "PBE-GGA", "state": "optimized geometry", "space_group": "No. 147", "formation_energy_mev_per_atom": 152, "cell": [[9.5545, 0.0000, 0.0000], [-4.7772, 8.2744, 0.0000], [0.0000, 0.0000, 6.7498]], "species": ["La", "La", "La", "La", "La", "La", "La", "La", "Sm", "Sm", "Sm", "Sm", "Sm", "Sm", "Dy"], "fractional_positions": [[0.0366, 0.7470, 0.1655], [0.2530, 0.2896, 0.1655], [0.2896, 0.0366, 0.8345], [0.3333, 0.6667, 0.1160], [0.6667, 0.3333, 0.8840], [0.7104, 0.9634, 0.1655], [0.7470, 0.7104, 0.8345], [0.9634, 0.2530, 0.8345], [0.0914, 0.6598, 0.6514], [0.3402, 0.4316, 0.6514], [0.4316, 0.0914, 0.3486], [0.5684, 0.9086, 0.6514], [0.6598, 0.5684, 0.3486], [0.9086, 0.3402, 0.3486], [0.0000, 0.0000, 0.5000]]}

---

Entry 7:
{"formula": "Li3TiB2O6", "functional": "PBE-GGA", "state": "optimized geometry", "formation_energy_uncorrected_mev_per_atom": -2381, "space_group": "No. 2", "e_above_lowest_polymorph_mev_per_atom": 21, "cell": [[5.0195, 0.0000, 0.0000], [0.3126, 7.1437, 0.0000], [0.1064, 3.1784, 7.4266]], "species": ["Li", "Li", "Li", "Li", "Li", "Li", "Ti", "Ti", "B", "B", "B", "B", "O", "O", "O", "O", "O", "O", "O", "O", "O", "O", "O", "O"], "fractional_positions": [[0.1411, 0.4473, 0.2371], [0.1704, 0.2568, 0.6404], [0.3428, 0.3904, 0.9517], [0.6572, 0.6096, 0.0483], [0.8296, 0.7432, 0.3596], [0.8589, 0.5527, 0.7629], [0.3935, 0.0172, 0.3447], [0.6065, 0.9828, 0.6553], [0.1437, 0.7984, 0.8832], [0.3235, 0.6560, 0.5745], [0.6765, 0.3440, 0.4255], [0.8563, 0.2016, 0.1168], [0.1216, 0.2005, 0.1659], [0.1684, 0.7845, 0.4284], [0.2332, 0.4844, 0.7009], [0.2702, 0.6398, 0.0139], [0.2906, 0.9733, 0.7788], [0.4193, 0.2635, 0.4264], [0.5807, 0.7365, 0.5736], [0.7094, 0.0267, 0.2212], [0.7298, 0.3602, 0.9861], [0.7668, 0.5156, 0.2991], [0.8316, 0.2155, 0.5716], [0.8784, 0.7995, 0.8341]]}

---

Entry 8:
{"formula": "MnTcTe", "functional": "PBE-GGA", "state": "optimized geometry", "formation_energy_uncorrected_mev_per_atom": 360, "space_group": "No. 8", "e_above_lowest_polymorph_mev_per_atom": 181, "cell": [[4.6608, -1.7129, 0.0000], [4.6608, 1.7129, 0.0000], [-1.2532, 0.0000, 3.1886]], "species": ["Mn", "Tc", "Te"], "fractional_positions": [[0.0000, 0.0000, 0.0000], [0.3399, 0.3399, 0.3430], [0.6720, 0.6720, 0.6738]]}

---

Entry 9:
{"formula": "Y3InMo", "functional": "PBE-GGA", "state": "optimized geometry", "space_group": "No. 221", "e_above_lowest_polymorph_mev_per_atom": 0, "formation_energy_mev_per_atom": 346, "cell": [[5.3605, 0.0000, 0.0000], [0.0000, 5.3605, 0.0000], [0.0000, 0.0000, 5.3605]], "species": ["Y", "Y", "Y", "In", "Mo"], "fractional_positions": [[0.0000, 0.0000, 0.5000], [0.0000, 0.5000, 0.0000], [0.5000, 0.0000, 0.0000], [0.5000, 0.5000, 0.5000], [0.0000, 0.0000, 0.0000]]}

---

Entry 10:
{"formula": "MgSb2P", "functional": "PBE-GGA", "state": "optimized geometry", "formation_energy_uncorrected_mev_per_atom": -54, "space_group": "No. 6", "e_above_lowest_polymorph_mev_per_atom": 0, "cell": [[5.3168, 0.0000, 0.0000], [0.0000, 3.7617, 0.0000], [-2.0312, 0.0000, 5.0040]], "species": ["Mg", "Sb", "Sb", "P"], "fractional_positions": [[0.0000, 0.0000, 0.0000], [0.4375, 0.0000, 0.5658], [0.6824, 0.5000, 0.2506], [0.2537, 0.5000, 0.8296]]}

---

Entry 11:
{"formula": "LaCu2Tc", "functional": "PBE-GGA", "state": "optimized geometry", "space_group": "No. 6", "e_above_lowest_polymorph_mev_per_atom": 190, "formation_energy_mev_per_atom": 292, "cell": [[2.9348, 0.0000, 0.0000], [0.0000, 4.3166, 0.0000], [-0.8311, 0.0000, 5.5779]], "species": ["La", "Cu", "Cu", "Tc"], "fractional_positions": [[0.0000, 0.0000, 0.0000], [0.3868, 0.0000, 0.4902], [0.4160, 0.5000, 0.7332], [0.7902, 0.5000, 0.3517]]}

---

Entry 12:
{"formula": "Na5SrSn2", "functional": "PBE-GGA", "state": "optimized geometry", "space_group": "No. 71", "formation_energy_mev_per_atom": -182, "cell": [[-2.4257, 5.0439, 5.6716], [2.4257, -5.0439, 5.6716], [2.4257, 5.0439, -5.6716]], "species": ["Na", "Na", "Na", "Na", "Na", "Sr", "Sn", "Sn"], "fractional_positions": [[0.0000, 0.0000, 0.0000], [0.0059, 0.3243, 0.6816], [0.3573, 0.6757, 0.6816], [0.6427, 0.3243, 0.3184], [0.9941, 0.6757, 0.3184], [0.5000, 0.0000, 0.5000], [0.2795, 0.2795, 0.0000], [0.7205, 0.7205, 0.0000]]}

---

| no. | electronic total energy (eV for the cell shown) | ρ (g/cm³) |
| --- | --- | --- |
| 1 | -34.958 | 12.58 |
| 2 | -28.527 | 7.81 |
| 3 | -15.716 | 8.74 |
| 4 | -24.102 | 7.42 |
| 5 | -11.708 | 3.74 |
| 6 | -70.054 | 6.77 |
| 7 | -170.630 | 2.32 |
| 8 | -21.596 | 9.15 |
| 9 | -31.230 | 5.15 |
| 10 | -15.465 | 4.96 |
| 11 | -22.316 | 8.55 |
| 12 | -17.741 | 2.63 |